DFT (PBE with a Hubbard U) results for a relaxed structure of K3V2SbO8.

```
data_K3V2SbO8
_cell_length_a 5.998
_cell_length_b 5.998
_cell_length_c 7.684
_cell_angle_alpha 90.00
_cell_angle_beta 90.00
_cell_angle_gamma 120.00
_space_group_name_H-M_alt 'P 1'
_space_group_IT_number 1
loop_
_space_group_symop_operation_xyz
'x,y,z'
loop_
_atom_site_label
_atom_site_type_symbol
_atom_site_fract_x
_atom_site_fract_y
_atom_site_fract_z
O1 O 0.827 0.654 0.679
O2 O 0.173 0.346 0.321
O3 O 0.827 0.173 0.679
O4 O 0.667 0.333 0.977
O5 O 0.654 0.827 0.321
O6 O 0.346 0.173 0.679
O7 O 0.333 0.667 0.023
O8 O 0.173 0.827 0.321
V1 V 0.667 0.333 0.759
V2 V 0.333 0.667 0.241
K1 K 0.333 0.667 0.686
K2 K 0.000 0.000 0.000
K3 K 0.667 0.333 0.314
Sb1 Sb 0.000 0.000 0.500
```

Values from the calculation:
Final energy, eV/atom: -6.289
Space-group type: No. 164